No. 1
# NbVCl2 | Alexandria | PBE | optimized geometry
data_NbVCl2
_cell_length_a 8.6058
_cell_length_b 8.6058
_cell_length_c 8.6058
_cell_angle_alpha 20.23
_cell_angle_beta 20.23
_cell_angle_gamma 20.23
_space_group_name_H-M_alt 'P 1'
_space_group_IT_number 1
_space_group_name_Hall 'P 1'
loop_
_atom_site_label
_atom_site_type_symbol
_atom_site_fract_x
_atom_site_fract_y
_atom_site_fract_z
Nb1 Nb 0.0000 0.0000 0.0000
V1 V 0.5000 0.5000 0.5000
Cl1 Cl 0.8994 0.8994 0.8994
Cl2 Cl 0.1006 0.1006 0.1006
# M_tot = 0.8 μB per formula unit
# ΔE_f (raw) = -0.19 eV per atom
# E = -23.6 eV for the cell shown
# Offset from the most stable computed form = 0 meV per atom
# D(E_F) = 0.65 states/eV/atom

No. 2
# Nb3VCl | Alexandria | PBE | optimized geometry
data_Nb3VCl
_cell_length_a 4.7371
_cell_length_b 4.7371
_cell_length_c 4.7371
_cell_angle_alpha 90.00
_cell_angle_beta 90.00
_cell_angle_gamma 90.00
_space_group_name_H-M_alt 'P 1'
_space_group_IT_number 1
_space_group_name_Hall 'P 1'
loop_
_atom_site_label
_atom_site_type_symbol
_atom_site_fract_x
_atom_site_fract_y
_atom_site_fract_z
Nb1 Nb 0.0000 0.5000 0.0000
Nb2 Nb 0.0000 0.0000 0.5000
Nb3 Nb 0.5000 0.0000 0.0000
V1 V 0.0000 0.0000 0.0000
Cl1 Cl 0.5000 0.5000 0.5000
# M_tot = 0.0 μB per formula unit
# ΔE_f (raw) = 1.22 eV per atom
# E = -35.1 eV for the cell shown
# Offset from the most stable computed form = 464 meV per atom
# D(E_F) = 1.44 states/eV/atom

No. 3
# YNbVCl2 | Alexandria | PBE | optimized geometry
data_YNbVCl2
_cell_length_a 4.5222
_cell_length_b 6.2694
_cell_length_c 4.5222
_cell_angle_alpha 90.00
_cell_angle_beta 90.00
_cell_angle_gamma 90.00
_space_group_name_H-M_alt 'P 1'
_space_group_IT_number 1
_space_group_name_Hall 'P 1'
loop_
_atom_site_label
_atom_site_type_symbol
_atom_site_fract_x
_atom_site_fract_y
_atom_site_fract_z
Y1 Y 0.0000 0.5000 0.0000
Nb1 Nb 0.5000 0.5000 0.5000
Cl1 Cl 0.0000 0.0000 0.5000
Cl2 Cl 0.5000 0.0000 0.0000
V1 V 0.0000 0.0000 0.0000
# M_tot = 3.7 μB per formula unit
# ΔE_f (raw) = 0.62 eV per atom
# E = -26.3 eV for the cell shown
# D(E_F) = 1.73 states/eV/atom

No. 4
# NbW3Cl | Alexandria | PBE | optimized geometry
data_NbW3Cl
_cell_length_a 4.8659
_cell_length_b 4.8659
_cell_length_c 4.8659
_cell_angle_alpha 90.00
_cell_angle_beta 90.00
_cell_angle_gamma 90.00
_space_group_name_H-M_alt 'P 1'
_space_group_IT_number 1
_space_group_name_Hall 'P 1'
loop_
_atom_site_label
_atom_site_type_symbol
_atom_site_fract_x
_atom_site_fract_y
_atom_site_fract_z
Nb1 Nb 0.0000 0.0000 0.0000
W1 W 0.0000 0.5000 0.0000
W2 W 0.0000 0.0000 0.5000
W3 W 0.5000 0.0000 0.0000
Cl1 Cl 0.5000 0.5000 0.5000
# M_tot = 0.0 μB per formula unit
# ΔE_f (raw) = 2.61 eV per atom
# E = -37.7 eV for the cell shown
# Offset from the most stable computed form = 1221 meV per atom
# D(E_F) = 0.89 states/eV/atom

No. 5
# Nb3WCl | Alexandria | PBE | optimized geometry
data_Nb3WCl
_cell_length_a 4.9565
_cell_length_b 4.9565
_cell_length_c 4.9565
_cell_angle_alpha 90.00
_cell_angle_beta 90.00
_cell_angle_gamma 90.00
_space_group_name_H-M_alt 'P 1'
_space_group_IT_number 1
_space_group_name_Hall 'P 1'
loop_
_atom_site_label
_atom_site_type_symbol
_atom_site_fract_x
_atom_site_fract_y
_atom_site_fract_z
Nb1 Nb 0.0000 0.5000 0.0000
Nb2 Nb 0.0000 0.0000 0.5000
Nb3 Nb 0.5000 0.0000 0.0000
W1 W 0.0000 0.0000 0.0000
Cl1 Cl 0.5000 0.5000 0.5000
# M_tot = 0.0 μB per formula unit
# ΔE_f (raw) = 1.49 eV per atom
# E = -37.5 eV for the cell shown
# Offset from the most stable computed form = 591 meV per atom
# D(E_F) = 1.93 states/eV/atom

No. 6
# NbW3Cl | Alexandria | PBE | optimized geometry
data_NbW3Cl
_cell_length_a 4.4186
_cell_length_b 4.4186
_cell_length_c 4.4186
_cell_angle_alpha 90.00
_cell_angle_beta 90.00
_cell_angle_gamma 90.00
_space_group_name_H-M_alt 'P 1'
_space_group_IT_number 1
_space_group_name_Hall 'P 1'
loop_
_atom_site_label
_atom_site_type_symbol
_atom_site_fract_x
_atom_site_fract_y
_atom_site_fract_z
Nb1 Nb 0.5000 0.5000 0.5000
W1 W 0.0000 0.5000 0.0000
W2 W 0.0000 0.0000 0.5000
W3 W 0.5000 0.0000 0.0000
Cl1 Cl 0.0000 0.0000 0.0000
# M_tot = 0.0 μB per formula unit
# ΔE_f (raw) = 1.39 eV per atom
# E = -43.8 eV for the cell shown
# Offset from the most stable computed form = 0 meV per atom
# D(E_F) = 1.59 states/eV/atom

No. 7
# NbWCl2 | Alexandria | PBE | optimized geometry
data_NbWCl2
_cell_length_a 5.7432
_cell_length_b 5.7432
_cell_length_c 6.3119
_cell_angle_alpha 62.94
_cell_angle_beta 62.94
_cell_angle_gamma 90.00
_space_group_name_H-M_alt 'P 1'
_space_group_IT_number 1
_space_group_name_Hall 'P 1'
loop_
_atom_site_label
_atom_site_type_symbol
_atom_site_fract_x
_atom_site_fract_y
_atom_site_fract_z
Nb1 Nb 0.5000 0.5000 0.0000
Nb2 Nb 0.2500 0.7500 0.5000
W1 W 0.0000 0.0000 0.0000
W2 W 0.7500 0.2500 0.5000
Cl1 Cl 0.6395 0.1250 0.2500
Cl2 Cl 0.1105 0.6250 0.2500
Cl3 Cl 0.3750 0.3605 0.7500
Cl4 Cl 0.8750 0.8895 0.7500
# M_tot = 0.0 μB per formula unit
# ΔE_f (raw) = 1.09 eV per atom
# E = -44.7 eV for the cell shown
# Offset from the most stable computed form = 938 meV per atom
# D(E_F) = 0.95 states/eV/atom

No. 8
# Nb2WCl | Alexandria | PBE | optimized geometry
data_Nb2WCl
_cell_length_a 4.6184
_cell_length_b 4.6184
_cell_length_c 4.6184
_cell_angle_alpha 60.00
_cell_angle_beta 60.00
_cell_angle_gamma 60.00
_space_group_name_H-M_alt 'P 1'
_space_group_IT_number 1
_space_group_name_Hall 'P 1'
loop_
_atom_site_label
_atom_site_type_symbol
_atom_site_fract_x
_atom_site_fract_y
_atom_site_fract_z
Nb1 Nb 0.2500 0.2500 0.2500
Nb2 Nb 0.7500 0.7500 0.7500
W1 W 0.5000 0.5000 0.5000
Cl1 Cl 0.0000 0.0000 0.0000
# M_tot = 0.0 μB per formula unit
# ΔE_f (raw) = 0.73 eV per atom
# E = -32.0 eV for the cell shown
# Offset from the most stable computed form = 0 meV per atom
# D(E_F) = 1.60 states/eV/atom

No. 9
# NbWCl3 | Alexandria | PBE | optimized geometry
data_NbWCl3
_cell_length_a 4.8365
_cell_length_b 4.8365
_cell_length_c 4.8365
_cell_angle_alpha 90.00
_cell_angle_beta 90.00
_cell_angle_gamma 90.00
_space_group_name_H-M_alt 'P 1'
_space_group_IT_number 1
_space_group_name_Hall 'P 1'
loop_
_atom_site_label
_atom_site_type_symbol
_atom_site_fract_x
_atom_site_fract_y
_atom_site_fract_z
Nb1 Nb 0.5000 0.5000 0.5000
W1 W 0.0000 0.0000 0.0000
Cl1 Cl 0.0000 0.5000 0.0000
Cl2 Cl 0.0000 0.0000 0.5000
Cl3 Cl 0.5000 0.0000 0.0000
# M_tot = 5.6 μB per formula unit
# ΔE_f (raw) = 0.92 eV per atom
# E = -24.0 eV for the cell shown
# Offset from the most stable computed form = 120 meV per atom
# D(E_F) = 3.05 states/eV/atom

No. 10
# Nb2WCl | Alexandria | PBE | optimized geometry
data_Nb2WCl
_cell_length_a 4.9013
_cell_length_b 4.9013
_cell_length_c 8.0458
_cell_angle_alpha 72.27
_cell_angle_beta 72.27
_cell_angle_gamma 90.00
_space_group_name_H-M_alt 'P 1'
_space_group_IT_number 1
_space_group_name_Hall 'P 1'
loop_
_atom_site_label
_atom_site_type_symbol
_atom_site_fract_x
_atom_site_fract_y
_atom_site_fract_z
Nb1 Nb 0.6021 0.1250 0.2500
Nb2 Nb 0.1479 0.6250 0.2500
Nb3 Nb 0.3750 0.3979 0.7500
Nb4 Nb 0.8750 0.8521 0.7500
W1 W 0.0000 0.0000 0.0000
W2 W 0.7500 0.2500 0.5000
Cl1 Cl 0.5000 0.5000 0.0000
Cl2 Cl 0.2500 0.7500 0.5000
# M_tot = 0.0 μB per formula unit
# ΔE_f (raw) = 1.15 eV per atom
# E = -60.7 eV for the cell shown
# Offset from the most stable computed form = 422 meV per atom
# D(E_F) = 0.51 states/eV/atom

No. 11
# NbWCl3 | Alexandria | PBE | optimized geometry
data_NbWCl3
_cell_length_a 5.0566
_cell_length_b 5.0566
_cell_length_c 5.0566
_cell_angle_alpha 90.00
_cell_angle_beta 90.00
_cell_angle_gamma 90.00
_space_group_name_H-M_alt 'P 1'
_space_group_IT_number 1
_space_group_name_Hall 'P 1'
loop_
_atom_site_label
_atom_site_type_symbol
_atom_site_fract_x
_atom_site_fract_y
_atom_site_fract_z
Nb1 Nb 0.0000 0.0000 0.0000
W1 W 0.5000 0.5000 0.5000
Cl1 Cl 0.0000 0.5000 0.0000
Cl2 Cl 0.0000 0.0000 0.5000
Cl3 Cl 0.5000 0.0000 0.0000
# M_tot = 8.0 μB per formula unit
# ΔE_f (raw) = 0.80 eV per atom
# E = -24.6 eV for the cell shown
# Offset from the most stable computed form = 0 meV per atom
# D(E_F) = 1.26 states/eV/atom

No. 12
# NbWCl2 | Alexandria | PBE | optimized geometry
data_NbWCl2
_cell_length_a 8.8012
_cell_length_b 8.8012
_cell_length_c 8.8012
_cell_angle_alpha 19.74
_cell_angle_beta 19.74
_cell_angle_gamma 19.74
_space_group_name_H-M_alt 'P 1'
_space_group_IT_number 1
_space_group_name_Hall 'P 1'
loop_
_atom_site_label
_atom_site_type_symbol
_atom_site_fract_x
_atom_site_fract_y
_atom_site_fract_z
Nb1 Nb 0.5000 0.5000 0.5000
W1 W 0.0000 0.0000 0.0000
Cl1 Cl 0.9061 0.9061 0.9061
Cl2 Cl 0.0939 0.0939 0.0939
# M_tot = 0.0 μB per formula unit
# ΔE_f (raw) = 0.15 eV per atom
# E = -26.1 eV for the cell shown
# Offset from the most stable computed form = 0 meV per atom
# D(E_F) = 1.03 states/eV/atom